Compound: Ba4NiAs
Source: the Alexandria database
Functional: PBE-GGA
Structure: optimized geometry

a = 9.7961 Å, b = 9.7961 Å, c = 9.7961 Å
α = 90.00°, β = 90.00°, γ = 90.00°
Space group F-43m (No. 216)
One atom of each set of equivalent atoms:
1 Ba 0.1244 0.1244 0.3756 [16 per cell]
2 Ni 0.0000 0.0000 0.0000 [4 per cell]
3 As 0.2500 0.2500 0.7500 [4 per cell]

Output
- DOS(E_F): 0.821 states/eV/atom
- Energy relative to the elements: 3.78 eV per formula unit
- Final energy: -2.39 eV per atom
- Total magnetization: 0.77 Bohr magnetons per cell

***

Compound: SnBF2
Source: the Alexandria database
Functional: PBE-GGA
Structure: optimized geometry

a = 3.2649 Å, b = 3.2649 Å, c = 21.4378 Å
α = 90.00°, β = 90.00°, γ = 120.00°
Space group R-3m (No. 166, hexagonal axes)
One atom of each set of equivalent atoms:
1 Sn 0.0000 0.0000 0.0000 [3 per cell]
2 B 0.0000 0.0000 0.5000 [3 per cell]
3 F 0.0000 0.0000 0.1054 [6 per cell]

Output
- DOS(E_F): 0.388 states/eV/atom
- Energy relative to the elements, uncorrected: -0.32 eV/atom
- Final energy: -3.93 eV per atom
- Energy relative to the lowest polymorph listed for this composition: 531 meV/atom
- Total magnetization: 0.00 Bohr magnetons per cell

***

Compound: FeSb
Source: the Alexandria database
Functional: PBE-GGA
Structure: optimized geometry

a = 12.8011 Å, b = 3.1655 Å, c = 6.3992 Å
α = 90.00°, β = 116.59°, γ = 90.00°
Space group Cm (No. 8)
One atom of each set of equivalent atoms:
1 Fe 0.0000 0.0000 0.0000 [2 per cell]
2 Fe 0.0428 0.5000 0.3202 [2 per cell]
3 Fe 0.3940 0.5000 0.3247 [2 per cell]
4 Sb 0.0412 0.5000 0.7217 [2 per cell]
5 Sb 0.2193 0.0000 0.3309 [2 per cell]
6 Sb 0.3218 0.0000 0.9231 [2 per cell]

Output
- DOS(E_F): 0.747 states/eV/atom
- Energy relative to the elements, uncorrected: 0.20 eV/atom
- Final energy: -6.10 eV per atom
- Total magnetization: 13.02 Bohr magnetons per cell

***

Compound: Ti2NbSi
Source: the Alexandria database
Functional: PBE-GGA
Structure: optimized geometry

a = 7.3640 Å, b = 7.3640 Å, c = 5.1308 Å
α = 90.00°, β = 90.00°, γ = 90.00°
Space group I-42d (No. 122)
One atom of each set of equivalent atoms:
1 Ti 0.2173 0.7500 0.1250 [8 per cell]
2 Nb 0.0000 0.0000 0.5000 [4 per cell]
3 Si 0.0000 0.0000 0.0000 [4 per cell]

Output
- DOS(E_F): 1.101 states/eV/atom
- Energy relative to the elements, uncorrected: 0.12 eV/atom
- Final energy: -7.70 eV per atom
- Total magnetization: 0.00 Bohr magnetons per cell

***

Q: The highest total magnetization belongs to which entry?
A: FeSb